Record 1
DFT (PBE) results for a relaxed HgTe2Os crystal.

a = 3.436 Å, b = 5.159 Å, c = 6.195 Å
α = 53.17°, β = 90.00°, γ = 90.00°
Fractional positions:
Hg  0.500  0.500  0.500
Os  0.000  0.000  0.500
Te  0.000  0.000  0.000
Te  0.500  0.500  0.000

Output
- E_form (uncorrected): 997.7 meV per atom
- Fermi-level density of states: 4.18 states/eV per cell
- DFT total energy: -13.82 eV for the cell shown
- SG: P2/m (10)
- M_tot: 0.00 μB per formula unit

=====

Record 2
DFT (PBE) results for a relaxed Hg2TeOs crystal.

a = 3.307 Å, b = 4.914 Å, c = 5.149 Å
α = 90.00°, β = 90.00°, γ = 90.00°
Fractional positions:
Hg  0.000  0.000  0.000
Hg  0.500  0.500  0.000
Os  0.500  0.000  0.500
Te  0.000  0.500  0.500

Output
- E_form (uncorrected): 900.9 meV per atom
- Fermi-level density of states: 4.23 states/eV per cell
- DFT total energy: -11.37 eV for the cell shown
- SG: Pmmm (47)
- M_tot: 0.00 μB per formula unit

=====

Record 3
DFT (PBE) results for a relaxed HgTeOs2 crystal.

a = 4.547 Å, b = 4.547 Å, c = 5.682 Å
α = 80.25°, β = 80.25°, γ = 39.69°
Fractional positions:
Hg  0.250  0.250  0.250
Os  0.003  0.003  0.957
Os  0.497  0.497  0.543
Te  0.750  0.750  0.750

Output
- E_form (uncorrected): 917.5 meV per atom
- Fermi-level density of states: 2.41 states/eV per cell
- DFT total energy: -22.23 eV for the cell shown
- SG: C2/m (12)
- ΔE to the lowest computed polymorph: 397 meV/atom
- M_tot: 0.00 μB per formula unit

=====

Record 4
DFT (PBE) results for a relaxed HgTeOs2 crystal.

a = 2.959 Å, b = 2.959 Å, c = 10.825 Å
α = 90.00°, β = 90.00°, γ = 121.68°
Fractional positions:
Hg  0.500  0.500  0.789
Os  0.000  0.000  0.032
Os  0.500  0.500  0.225
Te  0.000  0.000  0.453

Output
- E_form (uncorrected): 887.9 meV per atom
- Fermi-level density of states: 3.40 states/eV per cell
- DFT total energy: -22.35 eV for the cell shown
- SG: Cmm2 (35)
- ΔE to the lowest computed polymorph: 368 meV/atom
- M_tot: 0.00 μB per formula unit

=====

Please write out number 2 again, unchanged.
DFT (PBE) results for a relaxed Hg2TeOs crystal.

a = 3.307 Å, b = 4.914 Å, c = 5.149 Å
α = 90.00°, β = 90.00°, γ = 90.00°
Fractional positions:
Hg  0.000  0.000  0.000
Hg  0.500  0.500  0.000
Os  0.500  0.000  0.500
Te  0.000  0.500  0.500

Output
- E_form (uncorrected): 900.9 meV per atom
- Fermi-level density of states: 4.23 states/eV per cell
- DFT total energy: -11.37 eV for the cell shown
- SG: Pmmm (47)
- M_tot: 0.00 μB per formula unit

=====

Question: Look up the M_tot of the first one.
Answer: 0.00 μB per formula unit

=====

Question: Look up the Fermi-level density of states of the third one.
Answer: 2.41 states/eV per cell